# 1
LiY3Ag4 after structural relaxation, computed with GGA-PBE.

Results
* spin magnetization: 0.00 μB per formula unit
* SG: R-3m
* formation energy: -0.262 eV per atom

Cell lengths 8.757, 8.757, 8.757 Å; angles 33.55, 33.55, 33.55 degrees
Positions (direct):
Li (0.000, 0.000, 0.000)
Y (0.254, 0.254, 0.254)
Y (0.500, 0.500, 0.500)
Y (0.746, 0.746, 0.746)
Ag (0.124, 0.124, 0.124)
Ag (0.376, 0.376, 0.376)
Ag (0.624, 0.624, 0.624)
Ag (0.876, 0.876, 0.876)

# 2
Li2Y2Ag after structural relaxation, computed with GGA-PBE.

Results
* spin magnetization: 0.96 μB per formula unit
* SG: P4/mbm
* energy above the lowest structure with this stoichiometry: 0.000 eV/atom
* formation energy: 0.027 eV per atom

Cell lengths 6.795, 6.795, 4.996 Å; angles 90.00, 90.00, 90.00 degrees
Positions (direct):
Li (0.133, 0.367, 0.000)
Li (0.367, 0.867, 0.000)
Li (0.633, 0.133, 0.000)
Li (0.867, 0.633, 0.000)
Y (0.180, 0.680, 0.500)
Y (0.320, 0.180, 0.500)
Y (0.680, 0.820, 0.500)
Y (0.820, 0.320, 0.500)
Ag (0.000, 0.000, 0.000)
Ag (0.500, 0.500, 0.000)

# 3
LiYAg3 after structural relaxation, computed with GGA-PBE.

Results
* spin magnetization: 0.00 μB per formula unit
* SG: Pm-3m
* energy above the lowest structure with this stoichiometry: 0.209 eV/atom
* formation energy: -0.011 eV per atom

Cell lengths 4.663, 4.663, 4.663 Å; angles 90.00, 90.00, 90.00 degrees
Positions (direct):
Li (0.000, 0.000, 0.000)
Y (0.500, 0.500, 0.500)
Ag (0.000, 0.000, 0.500)
Ag (0.000, 0.500, 0.000)
Ag (0.500, 0.000, 0.000)

| no. | mass density (g/cm3) | DOS at the Fermi energy (states/eV per atom) |
| --- | --- | --- |
| 1 | 6.4 | 0.685 |
| 2 | 4.3 | 1.263 |
| 3 | 6.9 | 0.515 |